[1]
Below is a geometry-optimized Ta2CoHRh structure, with properties calculated at the GGA-PBE level.

```
Ta2CoHRh
1.0
-2.4930 2.1970 2.2942
-2.6598 -3.0381 0.0191
1.6603 -1.4336 3.1771
Co Rh H Ta
1 1 1 2
direct
0.5000 0.5000 0.5000 Co
0.0000 0.0000 0.5000 Rh
0.0000 0.0000 0.0000 H
0.0000 0.5000 0.0000 Ta
0.5000 0.0000 0.0000 Ta
```

Magnetization   0.00 μB/f.u.
Polymorph energy (0 for the lowest one)   78 meV per atom


[2]
Below is a geometry-optimized Cu2RePt structure, with properties calculated at the GGA-PBE level.

```
Cu2RePt
1.0
2.6804 0.0000 0.0000
0.0000 3.9069 0.0000
0.0000 0.0000 5.3045
Cu Pt Re
2 1 1
direct
0.0000 0.0000 0.0130 Cu
0.5000 0.5000 0.2328 Cu
0.0000 0.0000 0.5135 Pt
0.5000 0.5000 0.7408 Re
```

Calculated formation energy   0.1010 eV/atom
Magnetization   0.00 μB/f.u.
Polymorph energy (0 for the lowest one)   77 meV per atom


[3]
Below is a geometry-optimized K4LiTc structure, with properties calculated at the GGA-PBE level.

```
K4LiTc
1.0
-2.7575 5.1357 4.5928
2.0194 7.1031 -0.7348
-4.8700 5.0005 -2.5200
K Li Tc
4 1 1
direct
0.8775 0.3742 0.3742 K
0.3742 0.3742 0.8775 K
0.3742 0.8775 0.3742 K
0.3742 0.3742 0.3742 K
0.7500 0.7500 0.7500 Li
0.0000 0.0000 0.0000 Tc
```

Calculated formation energy   1.0572 eV/atom
Magnetization   3.60 μB/f.u.


[4]
Below is a geometry-optimized Tl3In2Pb3 structure, with properties calculated at the GGA-PBE level.

```
Tl3In2Pb3
1.0
-3.7010 -2.5074 2.7815
2.4911 -4.5267 -0.7661
5.2446 4.7991 6.3216
Tl In Pb
3 2 3
direct
0.8716 0.3731 0.7431 Tl
0.1284 0.6269 0.2569 Tl
0.0000 0.0000 0.0000 Tl
0.7518 0.7519 0.5035 In
0.2482 0.2481 0.4965 In
0.3679 0.8691 0.7358 Pb
0.5000 0.5000 0.0000 Pb
0.6321 0.1309 0.2642 Pb
```

Calculated formation energy   0.0070 eV/atom
Magnetization   0.00 μB/f.u.


[5]
Below is a geometry-optimized SmGdCdSi structure, with properties calculated at the GGA-PBE level.

```
SmGdCdSi
1.0
-2.1610 -3.3868 3.2730
-2.3106 -4.2609 -1.8325
2.1760 -4.6457 0.7317
Si Gd Sm Cd
1 1 1 1
direct
0.2500 0.2500 0.2500 Si
0.5000 0.5000 0.5000 Gd
0.0000 0.0000 0.0000 Sm
0.7500 0.7500 0.7500 Cd
```

Magnetization   7.27 μB/f.u.
Raw formation energy   -0.3940 eV/atom


[6]
Below is a geometry-optimized Nb3CuSn structure, with properties calculated at the GGA-PBE level.

```
Nb3CuSn
1.0
-0.3179 3.7859 -2.7324
-2.9186 -2.2988 -2.8456
-3.6443 1.5108 2.5173
Nb Sn Cu
3 1 1
direct
0.0000 0.5000 0.0000 Nb
0.0000 0.0000 0.5000 Nb
0.5000 0.0000 0.0000 Nb
0.5000 0.5000 0.5000 Sn
0.0000 0.0000 0.0000 Cu
```

Calculated formation energy   0.7562 eV/atom
Magnetization   0.00 μB/f.u.
Polymorph energy (0 for the lowest one)   0 meV per atom


[7]
Below is a geometry-optimized PuThMo structure, with properties calculated at the GGA-PBE level.

```
PuThMo
1.0
-4.0086 -0.5511 3.4672
-3.4857 -1.7431 -4.3070
4.1889 -3.2988 0.2240
Mo Pu Th
2 2 2
direct
0.7423 0.0976 0.4846 Mo
0.2577 0.9024 0.5154 Mo
0.5322 0.7141 0.0643 Pu
0.4678 0.2859 0.9357 Pu
0.8769 0.6732 0.7539 Th
0.1231 0.3268 0.2461 Th
```

Calculated formation energy   0.2797 eV/atom
Magnetization   1.55 μB/f.u.
Polymorph energy (0 for the lowest one)   50 meV per atom


[8]
Below is a geometry-optimized NdEr14Zr structure, with properties calculated at the GGA-PBE level.

```
NdEr14Zr
1.0
6.8405 -0.0262 0.0000
-1.9333 6.5617 0.0000
0.0000 0.0000 10.8766
Nd Er Zr
1 14 1
direct
0.1364 0.8636 0.5000 Nd
0.1095 0.8905 0.0000 Er
0.5613 0.4387 0.0000 Er
0.2077 0.3834 0.5000 Er
0.0408 0.3663 0.0000 Er
0.6166 0.7923 0.5000 Er
0.6337 0.9592 0.0000 Er
0.4208 0.1676 0.7426 Er
0.4208 0.1676 0.2574 Er
0.8324 0.5792 0.7426 Er
0.8324 0.5792 0.2574 Er
0.3459 0.6541 0.7730 Er
0.3459 0.6541 0.2270 Er
0.9000 0.1000 0.7286 Er
0.9000 0.1000 0.2714 Er
0.6957 0.3043 0.5000 Zr
```

Calculated formation energy   0.0677 eV/atom
Magnetization   0.01 μB/f.u.


[9]
Below is a geometry-optimized BaNaFePd2 structure, with properties calculated at the GGA-PBE level.

```
BaNaFePd2
1.0
-2.5032 -3.8689 2.7031
4.9363 -2.8363 0.5117
0.9950 2.5584 4.5832
Na Ba Pd Fe
1 1 2 1
direct
0.0000 0.5000 0.0000 Na
0.0000 0.0000 0.0000 Ba
0.0000 0.0000 0.5000 Pd
0.5000 0.0000 0.0000 Pd
0.5000 0.5000 0.5000 Fe
```

Calculated formation energy   1.6730 eV/atom
Magnetization   0.19 μB/f.u.


[10]
Below is a geometry-optimized ScBeAu3 structure, with properties calculated at the GGA-PBE level.

```
ScBeAu3
1.0
-2.3679 2.1557 4.0256
-4.1587 -2.8910 -0.8980
1.8862 -3.6680 3.0737
Sc Be Au
1 1 3
direct
0.0000 0.0000 0.0000 Sc
0.5000 0.5000 0.5000 Be
0.0000 0.5000 0.0000 Au
0.0000 0.0000 0.5000 Au
0.5000 0.0000 0.0000 Au
```

Calculated formation energy   0.8905 eV/atom
Magnetization   0.00 μB/f.u.
Polymorph energy (0 for the lowest one)   1237 meV per atom


[11]
Below is a geometry-optimized Ba6NO3F2 structure, with properties calculated at the GGA-PBE level.

```
Ba6NO3F2
1.0
6.9401 -0.0104 -0.0098
-3.4774 6.0061 -0.0098
-1.1645 -2.0163 6.5359
Ba N O F
6 1 3 2
direct
0.9136 0.5955 0.7364 Ba
0.7636 0.7636 0.2531 Ba
0.0864 0.4045 0.2636 Ba
0.5955 0.9136 0.7364 Ba
0.2364 0.2364 0.7469 Ba
0.4045 0.0864 0.2636 Ba
0.0000 0.0000 0.0000 N
0.1589 0.8411 0.5000 O
0.8411 0.1589 0.5000 O
0.5000 0.5000 0.5000 O
0.3307 0.6693 0.0000 F
0.6693 0.3307 0.0000 F
```

Magnetization   0.00 μB/f.u.
Raw formation energy   -2.2492 eV/atom


[12]
Below is a geometry-optimized Mn2FeAu structure, with properties calculated at the GGA-PBE level.

```
Mn2FeAu
1.0
2.9819 0.0000 0.0000
0.0000 2.9819 0.0000
0.0000 0.0000 6.2825
Au Fe Mn
1 1 2
direct
0.5000 0.5000 0.2500 Au
0.5000 0.5000 0.7500 Fe
0.0000 0.0000 0.9652 Mn
0.0000 0.0000 0.5348 Mn
```

Calculated formation energy   0.1406 eV/atom
Magnetization   8.17 μB/f.u.
Polymorph energy (0 for the lowest one)   0 meV per atom


Look up the magnetization of the third one.
3.60 μB/f.u.


magnetization of number 1 (Ta2CoHRh)?
0.00 μB/f.u.